No. 1
The following is a DFT calculation (PBE) of a geometry-optimized CaIn2Mo structure.

Cell and atoms, written as CIF:
```
data_CaIn2Mo
_symmetry_space_group_name_H-M 'P 1'
_symmetry_Int_Tables_number 1
_cell_length_a 4.318
_cell_length_b 4.540
_cell_length_c 4.540
_cell_angle_alpha 90.00
_cell_angle_beta 90.00
_cell_angle_gamma 90.00
loop_
_symmetry_equiv_pos_as_xyz
'x,y,z'
loop_
_atom_site_label
_atom_site_fract_x
_atom_site_fract_y
_atom_site_fract_z
In1 0.000 0.500 0.500
In2 0.000 0.000 0.000
Mo1 0.500 0.500 0.000
Ca1 0.500 0.000 0.500
```

Space group = P4/mmm (123)
VASP energy = -4.283 eV per atom
Polymorph energy (0 for the lowest one) = 192.5 meV per atom
Magnetization = 0.392 μB/atom
Formation energy = 295 meV/atom


No. 2
The following is a DFT calculation (PBE) of a geometry-optimized CaInMo structure.

Cell and atoms, written as CIF:
```
data_CaInMo
_symmetry_space_group_name_H-M 'P 1'
_symmetry_Int_Tables_number 1
_cell_length_a 4.893
_cell_length_b 4.893
_cell_length_c 4.893
_cell_angle_alpha 60.00
_cell_angle_beta 60.00
_cell_angle_gamma 60.00
loop_
_symmetry_equiv_pos_as_xyz
'x,y,z'
loop_
_atom_site_label
_atom_site_fract_x
_atom_site_fract_y
_atom_site_fract_z
Mo1 0.000 0.000 0.000
In1 0.750 0.750 0.750
Ca1 0.500 0.500 0.500
```

Space group = F-43m (216)
VASP energy = -4.392 eV per atom
Polymorph energy (0 for the lowest one) = 420.4 meV per atom
Magnetization = 0.849 μB/atom
Formation energy = 798 meV/atom


No. 3
The following is a DFT calculation (PBE) of a geometry-optimized Ca2InMo structure.

Cell and atoms, written as CIF:
```
data_Ca2InMo
_symmetry_space_group_name_H-M 'P 1'
_symmetry_Int_Tables_number 1
_cell_length_a 5.458
_cell_length_b 5.458
_cell_length_c 5.458
_cell_angle_alpha 126.67
_cell_angle_beta 126.67
_cell_angle_gamma 78.79
loop_
_symmetry_equiv_pos_as_xyz
'x,y,z'
loop_
_atom_site_label
_atom_site_fract_x
_atom_site_fract_y
_atom_site_fract_z
Ca1 0.000 0.000 0.000
Mo1 0.750 0.250 0.500
Ca2 0.250 0.750 0.500
In1 0.500 0.500 0.000
```

Space group = I-4m2 (119)
VASP energy = -3.974 eV per atom
Magnetization = 0.737 μB/atom
Formation energy = 419 meV/atom


No. 4
The following is a DFT calculation (PBE) of a geometry-optimized CaIn2Mo structure.

Cell and atoms, written as CIF:
```
data_CaIn2Mo
_symmetry_space_group_name_H-M 'P 1'
_symmetry_Int_Tables_number 1
_cell_length_a 3.838
_cell_length_b 3.367
_cell_length_c 7.667
_cell_angle_alpha 63.96
_cell_angle_beta 90.00
_cell_angle_gamma 90.00
loop_
_symmetry_equiv_pos_as_xyz
'x,y,z'
loop_
_atom_site_label
_atom_site_fract_x
_atom_site_fract_y
_atom_site_fract_z
In1 0.000 0.538 0.462
Ca1 0.500 0.750 0.750
In2 0.000 0.962 0.038
Mo1 0.500 0.250 0.250
```

Space group = Pmmm (47)
VASP energy = -4.467 eV per atom
Polymorph energy (0 for the lowest one) = 8.0 meV per atom
Magnetization = 0.000 μB/atom
Formation energy = 110 meV/atom